#A
Compound: Mg2Cd2Bi
Source: Alexandria
Functional: PBE-GGA
Structure: optimized geometry

Cell: 4.931 4.931 6.092 Å, 90.00 90.00 117.12°
Sites, in units of the cell vectors:
Mg: 0.000 0.000 0.240
Mg: 0.000 0.000 0.760
Cd: 0.326 0.674 0.000
Cd: 0.674 0.326 0.000
Bi: 0.500 0.500 0.500

Summary:
- DOS at the Fermi energy (states/eV/atom) = 0.325



#B
Compound: Mg2Cd2Bi
Source: Alexandria
Functional: PBE-GGA
Structure: optimized geometry

Cell: 8.343 8.343 3.486 Å, 90.00 90.00 90.00°
Sites, in units of the cell vectors:
Mg: 0.173 0.327 0.000
Mg: 0.327 0.827 0.000
Mg: 0.673 0.173 0.000
Mg: 0.827 0.673 0.000
Cd: 0.125 0.625 0.500
Cd: 0.375 0.125 0.500
Cd: 0.625 0.875 0.500
Cd: 0.875 0.375 0.500
Bi: 0.000 0.000 0.500
Bi: 0.500 0.500 0.500

Summary:
- DOS at the Fermi energy (states/eV/atom) = 0.385



#C
Compound: Mg2Cd2Bi
Source: Alexandria
Functional: PBE-GGA
Structure: optimized geometry

Cell: 7.366 7.366 7.366 Å, 145.55 145.55 49.51°
Sites, in units of the cell vectors:
Mg: 0.250 0.750 0.500
Mg: 0.750 0.250 0.500
Cd: 0.104 0.104 0.000
Cd: 0.896 0.896 0.000
Bi: 0.500 0.500 0.000

Summary:
- DOS at the Fermi energy (states/eV/atom) = 0.327



Order from most stable to least stable according to the calculation: #B, #A, #C



#A
Compound: Mg2Cd2Bi
Source: Alexandria
Functional: PBE-GGA
Structure: optimized geometry

Cell: 7.979 7.979 7.979 Å, 149.70 149.70 43.39°
Sites, in units of the cell vectors:
Mg: 0.099 0.099 0.000
Mg: 0.901 0.901 0.000
Cd: 0.250 0.750 0.500
Cd: 0.750 0.250 0.500
Bi: 0.500 0.500 0.000

Summary:
- DOS at the Fermi energy (states/eV/atom) = 0.392



#B
Compound: Mg2Cd2Bi
Source: Alexandria
Functional: PBE-GGA
Structure: optimized geometry

Cell: 8.455 8.455 3.456 Å, 90.00 90.00 90.00°
Sites, in units of the cell vectors:
Mg: 0.139 0.361 0.000
Mg: 0.361 0.861 0.000
Mg: 0.639 0.139 0.000
Mg: 0.861 0.639 0.000
Cd: 0.158 0.658 0.500
Cd: 0.342 0.158 0.500
Cd: 0.658 0.842 0.500
Cd: 0.842 0.342 0.500
Bi: 0.000 0.000 0.000
Bi: 0.500 0.500 0.000

Summary:
- DOS at the Fermi energy (states/eV/atom) = 0.462



Order from most stable to least stable according to the calculation: #B, #A



#A
Compound: Mg2CdBi2
Source: Alexandria
Functional: PBE-GGA
Structure: optimized geometry

Cell: 7.926 7.926 7.926 Å, 146.58 146.58 47.98°
Sites, in units of the cell vectors:
Mg: 0.250 0.750 0.500
Mg: 0.750 0.250 0.500
Cd: 0.000 0.000 0.000
Bi: 0.386 0.386 0.000
Bi: 0.614 0.614 0.000

Summary:
- DOS at the Fermi energy (states/eV/atom) = 0.638



#B
Compound: Mg2CdBi2
Source: Alexandria
Functional: PBE-GGA
Structure: optimized geometry

Cell: 9.032 9.032 3.410 Å, 90.00 90.00 90.00°
Sites, in units of the cell vectors:
Mg: 0.138 0.362 0.000
Mg: 0.362 0.862 0.000
Mg: 0.638 0.138 0.000
Mg: 0.862 0.638 0.000
Cd: 0.000 0.000 0.500
Cd: 0.500 0.500 0.500
Bi: 0.160 0.660 0.500
Bi: 0.340 0.160 0.500
Bi: 0.660 0.840 0.500
Bi: 0.840 0.340 0.500

Summary:
- DOS at the Fermi energy (states/eV/atom) = 0.469



Order from most stable to least stable according to the calculation: #B, #A



#A
Compound: MgCd4Bi
Source: Alexandria
Functional: PBE-GGA
Structure: optimized geometry

Cell: 5.943 5.943 5.943 Å, 60.00 60.00 60.00°
Sites, in units of the cell vectors:
Mg: 0.000 0.000 0.000
Cd: 0.123 0.626 0.626
Cd: 0.626 0.123 0.626
Cd: 0.626 0.626 0.123
Cd: 0.626 0.626 0.626
Bi: 0.250 0.250 0.250

Summary:
- DOS at the Fermi energy (states/eV/atom) = 0.515



#B
Compound: MgCd4Bi
Source: Alexandria
Functional: PBE-GGA
Structure: optimized geometry

Cell: 10.011 10.011 5.308 Å, 95.24 95.24 143.46°
Sites, in units of the cell vectors:
Mg: 0.183 0.817 0.750
Mg: 0.817 0.183 0.250
Cd: 0.153 0.386 0.803
Cd: 0.218 0.305 0.303
Cd: 0.305 0.218 0.803
Cd: 0.386 0.153 0.303
Cd: 0.614 0.847 0.697
Cd: 0.695 0.782 0.197
Cd: 0.782 0.695 0.697
Cd: 0.847 0.614 0.197
Bi: 0.266 0.734 0.250
Bi: 0.734 0.266 0.750

Summary:
- DOS at the Fermi energy (states/eV/atom) = 0.355



Order from most stable to least stable according to the calculation: #B, #A



#A
Compound: Mn2CdBi2
Source: Alexandria
Functional: PBE-GGA
Structure: optimized geometry

Cell: 7.557 7.557 3.904 Å, 90.00 90.00 90.00°
Sites, in units of the cell vectors:
Mn: 0.127 0.373 0.000
Mn: 0.373 0.873 0.000
Mn: 0.627 0.127 0.000
Mn: 0.873 0.627 0.000
Cd: 0.000 0.000 0.000
Cd: 0.500 0.500 0.000
Bi: 0.169 0.669 0.500
Bi: 0.331 0.169 0.500
Bi: 0.669 0.831 0.500
Bi: 0.831 0.331 0.500

Summary:
- DOS at the Fermi energy (states/eV/atom) = 0.659



#B
Compound: Mn2CdBi2
Source: Alexandria
Functional: PBE-GGA
Structure: optimized geometry

Cell: 5.676 5.676 5.676 Å, 121.48 121.48 87.45°
Sites, in units of the cell vectors:
Mn: 0.164 0.164 0.000
Mn: 0.836 0.836 0.000
Cd: 0.500 0.500 0.000
Bi: 0.250 0.750 0.500
Bi: 0.750 0.250 0.500

Summary:
- DOS at the Fermi energy (states/eV/atom) = 0.645



Order from most stable to least stable according to the calculation: #A, #B



#A
Compound: Mn2CdBi
Source: Alexandria
Functional: PBE-GGA
Structure: optimized geometry

Cell: 10.071 10.071 10.071 Å, 154.66 154.66 36.13°
Sites, in units of the cell vectors:
Mn: 0.114 0.625 0.989
Mn: 0.375 0.364 0.489
Mn: 0.636 0.125 0.011
Mn: 0.875 0.886 0.511
Cd: 0.000 0.000 0.000
Cd: 0.750 0.250 0.500
Bi: 0.250 0.750 0.500
Bi: 0.500 0.500 0.000

Summary:
- DOS at the Fermi energy (states/eV/atom) = 1.375



#B
Compound: Mn2CdBi
Source: Alexandria
Functional: PBE-GGA
Structure: optimized geometry

Cell: 4.542 4.542 4.542 Å, 60.00 60.00 60.00°
Sites, in units of the cell vectors:
Mn: 0.250 0.250 0.250
Mn: 0.750 0.750 0.750
Cd: 0.000 0.000 0.000
Bi: 0.500 0.500 0.500

Summary:
- DOS at the Fermi energy (states/eV/atom) = 3.415



Order from most stable to least stable according to the calculation: #A, #B